# 1
# KNiAsPb

An optimized crystal structure of KNiAsPb (PBE, Alexandria via LeMat-Bulk).

```
KNiAsPb
1.0
-0.058 0.330 -4.292
3.132 -2.942 -0.268
-8.478 -8.972 -0.576
K Ni As Pb
2 2 2 2
Cartesian
0.377 -4.000 -3.552
-5.781 -7.584 -1.585
0.740 -0.488 -3.286
2.335 -2.124 -1.274
-5.477 -10.195 -3.950
0.073 -1.389 -1.187
-1.904 -6.610 -1.563
-3.499 -4.974 -3.574
```

Summary:
- energy relative to the elements (kJ/mol of formula units) = -79.1
- volume (Å³/cell) = 229.1

# 2
# KNiAsPt

An optimized crystal structure of KNiAsPt (PBE, Alexandria via LeMat-Bulk).

```
KNiAsPt
1.0
3.801 0.000 0.000
0.000 3.801 0.000
0.000 0.000 12.433
K Ni As Pt
2 2 2 2
Cartesian
2.851 2.851 3.481
0.950 0.950 8.952
2.851 0.950 0.000
0.950 2.851 0.000
2.851 2.851 11.105
0.950 0.950 1.328
0.950 2.851 6.216
2.851 0.950 6.216
```

Summary:
- energy relative to the elements (kJ/mol of formula units) = -71.9
- volume (Å³/cell) = 179.6

# 3
# KReNiAs2

An optimized crystal structure of KReNiAs2 (PBE, Alexandria via LeMat-Bulk).

```
KReNiAs2
1.0
-2.839 1.719 -3.882
-3.383 -0.465 2.268
0.511 4.774 1.740
Re As K Ni
1 2 1 1
Cartesian
-2.856 3.014 0.063
0.255 2.387 0.870
-1.419 0.859 -1.941
0.000 0.000 0.000
-1.692 -0.232 1.134
```

Summary:
- energy relative to the elements (kJ/mol of formula units) = 1253.5
- volume (Å³/cell) = 106.9

# 4
# KNiAs2Rh

An optimized crystal structure of KNiAs2Rh (PBE, Alexandria via LeMat-Bulk).

```
KNiAs2Rh
1.0
4.084 0.000 0.000
0.000 4.084 0.000
-2.042 -2.042 6.500
K Ni As Rh
1 1 2 1
Cartesian
0.000 0.000 0.000
0.000 2.042 3.250
2.042 2.042 1.976
0.000 0.000 4.523
2.042 0.000 3.250
```

Summary:
- energy relative to the elements (kJ/mol of formula units) = -222.7
- volume (Å³/cell) = 108.4

# 5
# KNi2AsRu

An optimized crystal structure of KNi2AsRu (PBE, Alexandria via LeMat-Bulk).

```
KNi2AsRu
1.0
-4.169 1.481 0.994
-1.114 -4.235 1.637
1.419 1.223 4.130
Ru As K Ni
1 1 1 2
Cartesian
-0.557 -2.117 0.818
0.000 0.000 0.000
-1.932 -0.765 3.380
0.709 0.612 2.065
-2.085 0.741 0.497
```

Summary:
- energy relative to the elements (kJ/mol of formula units) = 276.4
- volume (Å³/cell) = 96.1

# 6
# KNiAs2Ru

An optimized crystal structure of KNiAs2Ru (PBE, Alexandria via LeMat-Bulk).

```
KNiAs2Ru
1.0
3.903 0.000 0.000
0.000 3.903 0.000
-1.952 -1.952 6.944
K Ni As Ru
1 1 2 1
Cartesian
0.000 0.000 0.000
1.952 0.000 3.472
1.952 1.952 2.066
0.000 0.000 4.878
0.000 1.952 3.472
```

Summary:
- energy relative to the elements (kJ/mol of formula units) = -213.5
- volume (Å³/cell) = 105.8

# 7
# K2NiAsS4

An optimized crystal structure of K2NiAsS4 (PBE, Alexandria via LeMat-Bulk).

```
K2NiAsS4
1.0
6.191 0.000 0.000
3.095 6.709 0.000
3.095 0.000 10.743
K Ni As S
4 2 2 8
Cartesian
3.095 0.000 6.980
6.191 0.000 3.763
7.738 3.355 9.135
7.738 3.355 1.608
7.738 3.355 5.371
0.000 0.000 0.000
4.643 3.355 5.371
3.095 0.000 0.000
4.675 5.392 0.991
4.675 1.318 9.752
10.801 5.392 9.752
4.611 1.318 0.991
6.158 4.672 4.380
6.158 2.037 6.363
9.318 4.672 6.363
3.128 2.037 4.380
```

Summary:
- E_form (uncorrected) (meV/atom) = -517
- volume (Å³/cell) = 446.2

# 8
# KNiSb2As

An optimized crystal structure of KNiSb2As (PBE, Alexandria via LeMat-Bulk).

```
KNiSb2As
1.0
-1.228 -5.192 0.413
5.019 -1.392 -2.582
2.405 -0.189 4.776
Sb As K Ni
2 1 1 1
Cartesian
1.202 -0.095 2.388
-0.614 -2.596 0.206
0.000 0.000 0.000
2.510 -0.696 -1.291
3.098 -3.387 1.303
```

Summary:
- E_form (uncorrected) (meV/atom) = 876
- volume (Å³/cell) = 166.5

# 9
# KNi4SbAs2

An optimized crystal structure of KNi4SbAs2 (PBE, Alexandria via LeMat-Bulk).

```
KNi4SbAs2
1.0
-0.856 -3.382 1.574
-1.311 -1.239 -3.375
9.430 -3.496 -2.378
K Ni Sb As
1 4 1 2
Cartesian
4.715 -1.748 -1.189
0.920 -1.204 -2.085
7.427 -4.603 -1.194
1.147 -2.275 0.390
7.200 -3.531 -3.669
0.000 0.000 0.000
1.702 -3.343 -1.603
5.561 -4.773 -2.576
```

Summary:
- E_form (uncorrected) (meV/atom) = -263
- volume (Å³/cell) = 151.4

# 10
# KSc2NiAs

An optimized crystal structure of KSc2NiAs (PBE, Alexandria via LeMat-Bulk).

```
KSc2NiAs
1.0
5.248 0.000 0.000
0.000 4.598 0.000
0.000 0.000 5.248
Sc Ni As K
2 1 1 1
Cartesian
0.000 0.000 2.624
2.624 0.000 0.000
0.000 2.299 0.000
0.000 0.000 0.000
2.624 2.299 2.624
```

Summary:
- energy relative to the elements (kJ/mol of formula units) = 51.1
- volume (Å³/cell) = 126.6

# 11
# KNiAsSe3

An optimized crystal structure of KNiAsSe3 (PBE, Alexandria via LeMat-Bulk).

```
KNiAsSe3
1.0
3.979 0.000 0.000
0.000 9.177 -0.006
0.000 -2.432 9.040
K Ni As Se
2 2 2 6
Cartesian
0.995 1.024 2.013
2.984 5.722 7.021
0.995 -0.746 5.292
2.984 7.491 3.743
0.995 5.694 1.132
2.984 1.052 7.902
2.984 7.475 1.327
0.995 -0.729 7.707
0.995 6.333 4.284
2.984 0.412 4.751
2.984 3.662 1.293
0.995 3.084 7.742
```

Summary:
- E_form (uncorrected) (meV/atom) = -445
- volume (Å³/cell) = 330.0

# 12
# K2NiAsSe4

An optimized crystal structure of K2NiAsSe4 (PBE, Alexandria via LeMat-Bulk).

```
K2NiAsSe4
1.0
-0.749 0.158 6.819
-1.174 -7.725 3.502
9.711 -0.941 4.541
K Ni As Se
4 2 2 8
Cartesian
6.463 -0.612 4.177
2.498 -0.171 7.183
6.954 -4.543 9.500
0.459 -3.886 8.771
3.706 -4.215 9.135
0.000 0.000 0.000
4.081 -4.294 5.726
-0.375 0.079 3.409
-0.610 -6.157 5.094
8.807 -2.437 6.043
7.550 -6.896 13.231
-0.171 -1.526 5.354
3.143 -5.783 7.543
4.610 -2.718 7.633
3.944 -5.827 10.766
3.878 -2.689 3.781
```

Summary:
- E_form (uncorrected) (meV/atom) = -485
- volume (Å³/cell) = 549.1

# 13
# K2TlNiAs2

An optimized crystal structure of K2TlNiAs2 (PBE, Alexandria via LeMat-Bulk).

```
K2TlNiAs2
1.0
-4.330 -4.732 -1.209
5.538 -5.148 0.313
-1.706 4.176 7.384
K Tl Ni As
4 2 2 4
Cartesian
1.477 -6.378 2.056
1.123 -1.671 2.518
-1.621 -4.033 3.970
-1.975 0.674 4.432
-1.083 -1.183 -0.302
-3.248 -3.549 -0.907
-0.478 -6.123 -0.750
1.687 -3.757 -0.146
0.030 -1.528 5.875
-0.527 -4.176 0.613
3.546 -3.584 1.326
-4.044 -2.120 5.162
```

Summary:
- energy relative to the elements (kJ/mol of formula units) = -132.0
- volume (Å³/cell) = 349.0

# 14
# KNi2AsW

An optimized crystal structure of KNi2AsW (PBE, Alexandria via LeMat-Bulk).

```
KNi2AsW
1.0
4.584 0.000 0.000
0.000 4.793 0.000
0.000 0.000 4.584
Ni As K W
2 1 1 1
Cartesian
0.000 0.000 2.292
2.292 0.000 0.000
0.000 0.000 0.000
2.292 2.397 2.292
0.000 2.397 0.000
```

Summary:
- energy relative to the elements (kJ/mol of formula units) = 469.6
- volume (Å³/cell) = 100.7

# 15
# KZn2NiAs

An optimized crystal structure of KZn2NiAs (PBE, Alexandria via LeMat-Bulk).

```
KZn2NiAs
1.0
5.271 0.000 0.000
0.000 4.478 0.000
0.000 0.000 5.271
K Ni As Zn
1 1 1 2
Cartesian
2.636 2.239 2.636
0.000 2.239 0.000
0.000 0.000 0.000
0.000 0.000 2.636
2.636 0.000 0.000
```

Summary:
- energy relative to the elements (kJ/mol of formula units) = 110.2
- volume (Å³/cell) = 124.4

# 16
# KNpAs

An optimized crystal structure of KNpAs (PBE, Alexandria via LeMat-Bulk).

```
KNpAs
1.0
3.862 0.000 0.000
-1.931 16.277 3.258
0.000 7.246 4.435
As K Np
2 2 2
Cartesian
0.000 9.393 3.857
1.931 14.131 3.836
0.000 16.751 4.951
1.931 6.772 2.742
1.931 11.314 4.438
0.000 12.210 3.254
```

Summary:
- energy relative to the elements (kJ/mol of formula units) = -18.6
- volume (Å³/cell) = 187.6

# 17
# K3NpAs2O8

An optimized crystal structure of K3NpAs2O8 (PBE, Alexandria via LeMat-Bulk).

```
K3NpAs2O8
1.0
-5.179 2.961 1.884
4.145 -2.044 4.217
3.687 6.692 -0.381
K Np As O
3 1 2 8
Cartesian
3.747 4.543 3.160
-1.094 3.066 2.561
0.000 0.000 0.000
1.844 3.346 -0.190
2.080 1.519 3.332
0.572 6.091 2.389
1.266 0.042 3.416
1.386 7.568 2.305
3.938 0.969 3.729
-1.285 6.640 1.991
1.715 2.066 1.467
0.938 5.544 4.253
1.160 2.558 4.740
1.493 5.052 0.981
```

Summary:
- E_form (uncorrected) (meV/atom) = -1779
- volume (Å³/cell) = 259.3

# 18
# KNpAsO6

An optimized crystal structure of KNpAsO6 (PBE, Alexandria via LeMat-Bulk).

```
KNpAsO6
1.0
-2.855 2.076 -3.965
-5.118 1.193 0.756
1.558 5.553 1.785
K Np As O
1 1 1 6
Cartesian
-1.297 7.629 -2.180
-4.536 4.956 -1.247
-1.878 3.866 -0.177
-1.413 2.283 0.724
-0.123 4.538 -0.184
-2.520 5.456 -0.947
-2.164 4.554 1.549
-3.648 3.264 -0.378
-1.402 3.100 -1.826
```

Summary:
- E_form (uncorrected) (meV/atom) = -1934
- volume (Å³/cell) = 147.4

# 19
# K2NpAs2O6

An optimized crystal structure of K2NpAs2O6 (PBE, Alexandria via LeMat-Bulk).

```
K2NpAs2O6
1.0
6.961 0.000 0.000
-3.481 4.947 0.115
0.000 -2.684 5.585
K Np As O
2 1 2 6
Cartesian
3.481 1.669 0.798
0.000 0.594 4.902
3.481 -1.342 2.792
3.481 2.329 4.324
0.000 -0.067 1.376
3.481 0.576 4.087
2.090 -0.540 1.571
-1.390 2.803 4.129
1.390 2.803 4.129
4.871 -0.540 1.571
0.000 1.687 1.613
```

Summary:
- E_form (uncorrected) (meV/atom) = -1788
- volume (Å³/cell) = 194.5

# 20
# K2Np2As2P

An optimized crystal structure of K2Np2As2P (PBE, Alexandria via LeMat-Bulk).

```
K2Np2As2P
1.0
5.185 0.000 0.000
0.000 5.185 0.000
-2.592 -2.592 8.340
K Np As P
2 2 2 1
Cartesian
0.000 0.000 3.197
2.592 2.592 5.143
0.000 2.592 0.000
2.592 0.000 0.000
0.000 0.000 6.624
2.592 2.592 1.716
0.000 0.000 0.000
```

Summary:
- energy relative to the elements (kJ/mol of formula units) = -278.7
- volume (Å³/cell) = 224.2